## LaNd6Sm4 (GGA-PBE)

Data for crystalline LaNd6Sm4 at its relaxed geometry.

The structure in extended XYZ format:
```
11
Lattice="-2.9432 -7.2020 -0.2333 2.1399 -1.1143 7.4003 -5.5449 6.5211 -1.5082" Properties=species:S:1:pos:R:3 pbc="T T T"
Sm -1.5994 -6.5528 6.2907
Nd -3.8413 -4.7012 2.5678
Nd -1.4716 -3.6010 -0.1167
Nd -3.5151 3.4310 -0.3955
La -0.4017 -4.1581 3.5835
Nd -1.4464 -1.8331 6.1643
Nd -3.8936 -0.4871 2.9811
Sm -6.7056 -0.0305 -0.7870
Sm -3.3261 4.0167 4.2881
Nd 1.0700 -0.5571 3.7002
Sm -1.0653 -1.0239 1.5259
```

Results
E, eV per atom: -4.41
Energy relative to the elements, eV/atom: 0.352
Energy above the lowest structure with this stoichiometry, meV/atom: 67